An optimized crystal structure of CaPm5Er6, computed with PBE.

The structure belongs to space group C2/m (No. 12); the cell edges are 11.867, 10.784 and 6.227 Å and the angles 90.00°, 100.03° and 90.00°. Symmetry generates all atoms from Ca at (0.000, 0.000, 0.000), Pm at (0.000, 0.170, 0.500), Pm at (0.000, 0.337, 0.000), Pm at (0.000, 0.500, 0.500), Er at (0.246, 0.331, 0.747) and Er at (0.248, 0.500, 0.256).

An optimized crystal structure of CaPmEr2, computed with PBE.

The energy above the most stable polymorph in this dataset comes out at 0.409 eV per formula unit.

The structure belongs to space group R-3m (No. 166, hexagonal axes); the cell edges are 3.5532, 3.5532 and 37.5759 Å and the angles 90.00°, 90.00° and 120.00°. Symmetry generates all atoms from Ca at (0.0000, 0.0000, 0.0000), Pm at (0.0000, 0.0000, 0.5000) and Er at (0.0000, 0.0000, 0.0903).

An optimized crystal structure of CaPmEr2, computed with PBE.

The energy above the most stable polymorph in this dataset comes out at 0.432 eV per formula unit.

The structure belongs to space group Fm-3m (No. 225); the cell edges are 8.126, 8.126 and 8.126 Å and the angles 90.00°, 90.00° and 90.00°. Symmetry generates all atoms from Ca at (0.000, 0.000, 0.000), Pm at (0.000, 0.000, 0.500) and Er at (0.250, 0.250, 0.250).

An optimized crystal structure of CaPm6Er3, computed with PBE.

The structure belongs to space group P2_1/m (No. 11); the cell edges are 13.053, 3.587 and 15.898 Å and the angles 90.00°, 113.30° and 90.00°. Symmetry generates all atoms from Ca at (0.126, 0.250, 0.496), Pm at (0.058, 0.250, 0.723), Pm at (0.250, 0.250, 0.088), Pm at (0.268, 0.750, 0.900), Pm at (0.319, 0.750, 0.707), Pm at (0.380, 0.750, 0.500), Pm at (0.440, 0.750, 0.297), Er at (0.021, 0.750, 0.910), Er at (0.200, 0.250, 0.299) and Er at (0.499, 0.750, 0.098).

| no. | DFT formation energy (eV per atom) |
| --- | --- |
| 1 | 0.046 |
| 2 | 0.171 |
| 3 | 0.177 |
| 4 | 0.071 |